# Pm2W3O12

Pm2W3O12 at its PBEsol-relaxed geometry (SCAN, Alexandria via LeMat-Bulk).

abc: 6.922 6.922 11.468
angles: 100.71 100.71 111.85
Fractional positions:
Pm (0.042, 0.289, 0.093)
Pm (0.289, 0.042, 0.593)
Pm (0.711, 0.958, 0.407)
Pm (0.958, 0.711, 0.907)
W (0.134, 0.866, 0.250)
W (0.250, 0.462, 0.451)
W (0.462, 0.250, 0.951)
W (0.538, 0.750, 0.049)
W (0.750, 0.538, 0.549)
W (0.866, 0.134, 0.750)
O (0.082, 0.661, 0.109)
O (0.087, 0.186, 0.460)
O (0.105, 0.461, 0.303)
O (0.122, 0.208, 0.719)
O (0.186, 0.087, 0.960)
O (0.208, 0.122, 0.219)
O (0.229, 0.663, 0.561)
O (0.337, 0.771, 0.939)
O (0.339, 0.918, 0.391)
O (0.400, 0.474, 0.074)
O (0.461, 0.105, 0.803)
O (0.474, 0.400, 0.574)
O (0.526, 0.600, 0.426)
O (0.539, 0.895, 0.197)
O (0.600, 0.526, 0.926)
O (0.661, 0.082, 0.609)
O (0.663, 0.229, 0.061)
O (0.771, 0.337, 0.439)
O (0.792, 0.878, 0.781)
O (0.814, 0.913, 0.040)
O (0.878, 0.792, 0.281)
O (0.895, 0.539, 0.697)
O (0.913, 0.814, 0.540)
O (0.918, 0.339, 0.891)

Summary:
Raw formation energy: -2.82 eV/atom
Total energy: -24.692 eV/atom
Magnetic moment: 0.000 μB per atom
Density of states at the Fermi level: 0.0 states/eV/f.u.
SG: C2/c, No. 15

# RePtW2

RePtW2 at its PBEsol-relaxed geometry (SCAN, Alexandria via LeMat-Bulk).

abc: 3.931 3.931 3.895
angles: 90.00 90.00 90.00
Fractional positions:
Re (0.000, 0.000, 0.000)
Pt (0.500, 0.500, 0.000)
W (0.000, 0.500, 0.500)
W (0.500, 0.000, 0.500)

Summary:
Total energy: -70.308 eV/atom
Magnetic moment: 0.000 μB per atom
Density of states at the Fermi level: 2.1 states/eV/f.u.
Energy of formation from the pure elements: -0.14 eV/atom
SG: P4/mmm, No. 123

# KHgOs2

KHgOs2 at its PBEsol-relaxed geometry (SCAN, Alexandria via LeMat-Bulk).

abc: 2.701 4.937 5.415
angles: 90.00 90.00 90.00
Fractional positions:
K (0.000, 0.000, 0.000)
Hg (0.500, 0.500, 0.000)
Os (0.000, 0.500, 0.500)
Os (0.500, 0.000, 0.500)

Summary:
Total energy: -53.778 eV/atom
Magnetic moment: 0.193 μB per atom
Density of states at the Fermi level: 3.4 states/eV/f.u.
Energy of formation from the pure elements: 1.29 eV/atom
SG: Pmmm, No. 47

# TaCdNi6

TaCdNi6 at its PBEsol-relaxed geometry (SCAN, Alexandria via LeMat-Bulk).

abc: 6.305 6.305 10.316
angles: 90.00 90.00 109.44
Fractional positions:
Ta (0.000, 0.000, 0.248)
Ta (0.000, 0.000, 0.752)
Ta (0.248, 0.752, 0.500)
Ta (0.752, 0.248, 0.500)
Cd (0.252, 0.748, 0.000)
Cd (0.500, 0.500, 0.250)
Cd (0.500, 0.500, 0.750)
Cd (0.748, 0.252, 0.000)
Ni (0.000, 0.000, 0.000)
Ni (0.000, 0.000, 0.500)
Ni (0.120, 0.368, 0.129)
Ni (0.120, 0.368, 0.871)
Ni (0.120, 0.373, 0.378)
Ni (0.120, 0.373, 0.622)
Ni (0.247, 0.753, 0.256)
Ni (0.247, 0.753, 0.744)
Ni (0.368, 0.120, 0.129)
Ni (0.368, 0.120, 0.871)
Ni (0.373, 0.120, 0.378)
Ni (0.373, 0.120, 0.622)
Ni (0.500, 0.500, 0.000)
Ni (0.500, 0.500, 0.500)
Ni (0.627, 0.880, 0.378)
Ni (0.627, 0.880, 0.622)
Ni (0.632, 0.880, 0.129)
Ni (0.632, 0.880, 0.871)
Ni (0.753, 0.247, 0.256)
Ni (0.753, 0.247, 0.744)
Ni (0.880, 0.627, 0.378)
Ni (0.880, 0.627, 0.622)
Ni (0.880, 0.632, 0.129)
Ni (0.880, 0.632, 0.871)

Summary:
Total energy: -24.368 eV/atom
Magnetic moment: 0.078 μB per atom
Density of states at the Fermi level: 4.4 states/eV/f.u.
Energy of formation from the pure elements: -0.11 eV/atom
SG: Cmmm, No. 65

# K2FeH2OF5

K2FeH2OF5 at its PBEsol-relaxed geometry (SCAN, Alexandria via LeMat-Bulk).

abc: 6.115 6.115 7.670
angles: 95.29 95.29 78.31
Fractional positions:
K (0.199, 0.202, 0.031)
K (0.202, 0.199, 0.531)
K (0.798, 0.801, 0.469)
K (0.801, 0.798, 0.969)
Fe (0.300, 0.700, 0.750)
Fe (0.700, 0.300, 0.250)
H (0.364, 0.590, 0.356)
H (0.410, 0.636, 0.144)
H (0.590, 0.364, 0.856)
H (0.636, 0.410, 0.644)
O (0.457, 0.543, 0.250)
O (0.543, 0.457, 0.750)
F (0.058, 0.942, 0.750)
F (0.113, 0.515, 0.801)
F (0.231, 0.639, 0.509)
F (0.361, 0.769, 0.991)
F (0.485, 0.887, 0.699)
F (0.515, 0.113, 0.301)
F (0.639, 0.231, 0.009)
F (0.769, 0.361, 0.491)
F (0.887, 0.485, 0.199)
F (0.942, 0.058, 0.250)

Summary:
Total energy: -8.272 eV/atom
Magnetic moment: 0.091 μB per atom
Density of states at the Fermi level: 0.0 states/eV/f.u.
SG: C2/c, No. 15

# ZrZn2As

ZrZn2As at its PBEsol-relaxed geometry (SCAN, Alexandria via LeMat-Bulk).

abc: 5.158 5.158 5.158
angles: 135.78 135.78 64.32
Fractional positions:
Zr (0.000, 0.000, 0.000)
Zn (0.250, 0.750, 0.500)
Zn (0.500, 0.500, 0.000)
As (0.750, 0.250, 0.500)

Summary:
Total energy: -19.887 eV/atom
Magnetic moment: 0.000 μB per atom
Density of states at the Fermi level: 1.5 states/eV/f.u.
Energy of formation from the pure elements: -0.41 eV/atom
SG: I-4m2, No. 119

# Sc2MnBeAg

Sc2MnBeAg at its PBEsol-relaxed geometry (SCAN, Alexandria via LeMat-Bulk).

abc: 4.594 4.594 4.221
angles: 90.00 90.00 90.00
Fractional positions:
Sc (0.000, 0.500, 0.000)
Sc (0.500, 0.000, 0.000)
Mn (0.000, 0.000, 0.000)
Be (0.000, 0.000, 0.500)
Ag (0.500, 0.500, 0.500)

Summary:
Total energy: -16.117 eV/atom
Magnetic moment: 0.208 μB per atom
Density of states at the Fermi level: 2.8 states/eV/f.u.
Energy of formation from the pure elements: 0.37 eV/atom
SG: P4/mmm, No. 123

# Sb4Rh3

Sb4Rh3 at its PBEsol-relaxed geometry (SCAN, Alexandria via LeMat-Bulk).

abc: 5.367 5.367 5.481
angles: 90.00 90.00 120.00
Fractional positions:
Sb (0.000, 0.000, 0.243)
Sb (0.000, 0.000, 0.757)
Sb (0.333, 0.667, 0.500)
Sb (0.667, 0.333, 0.500)
Rh (0.000, 0.500, 0.000)
Rh (0.500, 0.000, 0.000)
Rh (0.500, 0.500, 0.000)

Summary:
Raw formation energy: 0.32 eV/atom
Total energy: -35.441 eV/atom
Magnetic moment: 0.000 μB per atom
Density of states at the Fermi level: 6.4 states/eV/f.u.
SG: P6/mmm, No. 191

# CaZrSe2

CaZrSe2 at its PBEsol-relaxed geometry (SCAN, Alexandria via LeMat-Bulk).

abc: 6.840 6.840 6.840
angles: 147.23 147.23 47.02
Fractional positions:
Ca (0.000, 0.000, 0.000)
Zr (0.250, 0.750, 0.500)
Se (0.500, 0.500, 0.000)
Se (0.750, 0.250, 0.500)

Summary:
Raw formation energy: -1.15 eV/atom
Total energy: -21.281 eV/atom
Magnetic moment: 0.358 μB per atom
Density of states at the Fermi level: 1.8 states/eV/f.u.
SG: I-4m2, No. 119

# ReNi2GeSb

ReNi2GeSb at its PBEsol-relaxed geometry (SCAN, Alexandria via LeMat-Bulk).

abc: 4.547 4.547 4.683
angles: 90.00 90.00 90.00
Fractional positions:
Re (0.000, 0.000, 0.000)
Ni (0.000, 0.500, 0.000)
Ni (0.500, 0.000, 0.000)
Ge (0.000, 0.000, 0.500)
Sb (0.500, 0.500, 0.500)

Summary:
Raw formation energy: 1.06 eV/atom
Total energy: -30.900 eV/atom
Magnetic moment: 0.000 μB per atom
Density of states at the Fermi level: 4.3 states/eV/f.u.
SG: P4/mmm, No. 123

# CuAsO3

CuAsO3 at its PBEsol-relaxed geometry (SCAN, Alexandria via LeMat-Bulk).

abc: 5.611 5.611 5.611
angles: 53.10 53.10 53.10
Fractional positions:
Cu (0.109, 0.109, 0.109)
Cu (0.891, 0.891, 0.891)
As (0.336, 0.336, 0.336)
As (0.664, 0.664, 0.664)
O (0.069, 0.452, 0.699)
O (0.301, 0.931, 0.548)
O (0.452, 0.699, 0.069)
O (0.548, 0.301, 0.931)
O (0.699, 0.069, 0.452)
O (0.931, 0.548, 0.301)

Summary:
Raw formation energy: -0.97 eV/atom
Total energy: -11.785 eV/atom
Magnetic moment: 0.015 μB per atom
Density of states at the Fermi level: 3.2 states/eV/f.u.
SG: R-3, No. 148

# CaB3Rh

CaB3Rh at its PBEsol-relaxed geometry (SCAN, Alexandria via LeMat-Bulk).

abc: 4.042 4.042 4.042
angles: 90.00 90.00 90.00
Fractional positions:
Ca (0.000, 0.000, 0.000)
B (0.000, 0.500, 0.500)
B (0.500, 0.000, 0.500)
B (0.500, 0.500, 0.000)
Rh (0.500, 0.500, 0.500)

Summary:
Total energy: -12.709 eV/atom
Magnetic moment: 0.000 μB per atom
Density of states at the Fermi level: 1.4 states/eV/f.u.
Energy of formation from the pure elements: 0.44 eV/atom
SG: Pm-3m, No. 221

# YHg4Cl

YHg4Cl at its PBEsol-relaxed geometry (SCAN, Alexandria via LeMat-Bulk).

abc: 5.879 5.879 5.879
angles: 60.00 60.00 60.00
Fractional positions:
Y (0.000, 0.000, 0.000)
Hg (0.125, 0.625, 0.625)
Hg (0.625, 0.125, 0.625)
Hg (0.625, 0.625, 0.125)
Hg (0.625, 0.625, 0.625)
Cl (0.250, 0.250, 0.250)

Summary:
Raw formation energy: -0.28 eV/atom
Total energy: -51.692 eV/atom
Magnetic moment: 0.000 μB per atom
Density of states at the Fermi level: 4.0 states/eV/f.u.
SG: F-43m, No. 216

# ReSiTe3

ReSiTe3 at its PBEsol-relaxed geometry (SCAN, Alexandria via LeMat-Bulk).

abc: 5.150 5.150 5.150
angles: 90.00 90.00 90.00
Fractional positions:
Re (0.000, 0.000, 0.000)
Si (0.500, 0.500, 0.500)
Te (0.000, 0.000, 0.500)
Te (0.000, 0.500, 0.000)
Te (0.500, 0.000, 0.000)

Summary:
Raw formation energy: 1.11 eV/atom
Total energy: -37.460 eV/atom
Magnetic moment: 0.000 μB per atom
Density of states at the Fermi level: 6.0 states/eV/f.u.
SG: Pm-3m, No. 221

# LaAgHg2

LaAgHg2 at its PBEsol-relaxed geometry (SCAN, Alexandria via LeMat-Bulk).

abc: 5.075 5.075 5.075
angles: 60.00 60.00 60.00
Fractional positions:
La (0.000, 0.000, 0.000)
Ag (0.500, 0.500, 0.500)
Hg (0.250, 0.250, 0.250)
Hg (0.750, 0.750, 0.750)

Summary:
Total energy: -53.196 eV/atom
Magnetic moment: 0.000 μB per atom
Density of states at the Fermi level: 2.0 states/eV/f.u.
Energy of formation from the pure elements: -0.50 eV/atom
SG: Fm-3m, No. 225

# MnRhBr2

MnRhBr2 at its PBEsol-relaxed geometry (SCAN, Alexandria via LeMat-Bulk).

abc: 6.825 6.825 3.982
angles: 97.45 97.45 28.86
Fractional positions:
Mn (0.000, 0.000, 0.000)
Rh (0.500, 0.500, 0.500)
Br (0.352, 0.352, 0.796)
Br (0.648, 0.648, 0.204)

Summary:
Raw formation energy: -0.29 eV/atom
Total energy: -23.028 eV/atom
Magnetic moment: 1.253 μB per atom
Density of states at the Fermi level: 2.5 states/eV/f.u.
SG: C2/m, No. 12

# BaCu2Ru

BaCu2Ru at its PBEsol-relaxed geometry (SCAN, Alexandria via LeMat-Bulk).

abc: 4.644 4.644 4.644
angles: 60.00 60.00 60.00
Fractional positions:
Ba (0.000, 0.000, 0.000)
Cu (0.250, 0.250, 0.250)
Cu (0.500, 0.500, 0.500)
Ru (0.750, 0.750, 0.750)

Summary:
Total energy: -25.253 eV/atom
Magnetic moment: 0.000 μB per atom
Density of states at the Fermi level: 0.9 states/eV/f.u.
Energy of formation from the pure elements: 0.94 eV/atom
SG: F-43m, No. 216

# Ta2Hg

Ta2Hg at its PBEsol-relaxed geometry (SCAN, Alexandria via LeMat-Bulk).

abc: 5.896 5.896 6.895
angles: 103.51 103.51 28.07
Fractional positions:
Ta (0.140, 0.140, 0.019)
Ta (0.200, 0.200, 0.645)
Ta (0.800, 0.800, 0.355)
Ta (0.860, 0.860, 0.981)
Hg (0.469, 0.469, 0.692)
Hg (0.531, 0.531, 0.308)

Summary:
Total energy: -66.858 eV/atom
Magnetic moment: 0.000 μB per atom
Density of states at the Fermi level: 1.9 states/eV/f.u.
Energy of formation from the pure elements: 0.25 eV/atom
SG: C2/m, No. 12

# Zn2CdCu

Zn2CdCu at its PBEsol-relaxed geometry (SCAN, Alexandria via LeMat-Bulk).

abc: 2.932 2.932 6.871
angles: 90.00 90.00 90.00
Fractional positions:
Zn (0.000, 0.000, 0.209)
Zn (0.000, 0.000, 0.791)
Cd (0.500, 0.500, 0.500)
Cu (0.500, 0.500, 0.000)

Summary:
Total energy: -18.134 eV/atom
Magnetic moment: 0.000 μB per atom
Density of states at the Fermi level: 0.8 states/eV/f.u.
Energy of formation from the pure elements: 0.03 eV/atom
SG: P4/mmm, No. 123

# RbCdBiCl2

RbCdBiCl2 at its PBEsol-relaxed geometry (SCAN, Alexandria via LeMat-Bulk).

abc: 5.739 5.739 6.077
angles: 90.00 90.00 90.00
Fractional positions:
Rb (0.000, 0.000, 0.000)
Cd (0.000, 0.000, 0.500)
Bi (0.500, 0.500, 0.500)
Cl (0.000, 0.500, 0.000)
Cl (0.500, 0.000, 0.000)

Summary:
Raw formation energy: -0.04 eV/atom
Total energy: -29.182 eV/atom
Magnetic moment: 0.398 μB per atom
Density of states at the Fermi level: 3.4 states/eV/f.u.
SG: P4/mmm, No. 123

# Ni5Ir

Ni5Ir at its PBEsol-relaxed geometry (SCAN, Alexandria via LeMat-Bulk).

abc: 4.336 4.336 4.096
angles: 90.00 90.00 120.00
Fractional positions:
Ni (0.000, 0.337, 0.000)
Ni (0.333, 0.667, 0.500)
Ni (0.337, 0.000, 0.000)
Ni (0.663, 0.663, 0.000)
Ni (0.667, 0.333, 0.500)
Ir (0.000, 0.000, 0.500)

Summary:
Total energy: -25.305 eV/atom
Magnetic moment: 0.775 μB per atom
Density of states at the Fermi level: 7.2 states/eV/f.u.
Energy of formation from the pure elements: 0.02 eV/atom
SG: P-62m, No. 189

# P2Ir2Pb

P2Ir2Pb at its PBEsol-relaxed geometry (SCAN, Alexandria via LeMat-Bulk).

abc: 5.689 5.689 5.689
angles: 136.29 136.29 63.54
Fractional positions:
P (0.250, 0.750, 0.500)
P (0.750, 0.250, 0.500)
Ir (0.143, 0.143, 0.000)
Ir (0.857, 0.857, 0.000)
Pb (0.500, 0.500, 0.000)

Summary:
Total energy: -47.906 eV/atom
Magnetic moment: 0.000 μB per atom
Density of states at the Fermi level: 1.9 states/eV/f.u.
Energy of formation from the pure elements: -0.15 eV/atom
SG: I4/mmm, No. 139

# Y2MgAgTe

Y2MgAgTe at its PBEsol-relaxed geometry (SCAN, Alexandria via LeMat-Bulk).

abc: 5.444 5.444 4.929
angles: 90.00 90.00 90.00
Fractional positions:
Y (0.000, 0.500, 0.000)
Y (0.500, 0.000, 0.000)
Mg (0.000, 0.000, 0.500)
Ag (0.000, 0.000, 0.000)
Te (0.500, 0.500, 0.500)

Summary:
Raw formation energy: -0.28 eV/atom
Total energy: -26.137 eV/atom
Magnetic moment: 0.000 μB per atom
Density of states at the Fermi level: 3.1 states/eV/f.u.
SG: P4/mmm, No. 123

# MgRhSe3

MgRhSe3 at its PBEsol-relaxed geometry (SCAN, Alexandria via LeMat-Bulk).

abc: 4.847 4.847 4.847
angles: 90.00 90.00 90.00
Fractional positions:
Mg (0.000, 0.000, 0.000)
Rh (0.500, 0.500, 0.500)
Se (0.000, 0.500, 0.500)
Se (0.500, 0.000, 0.500)
Se (0.500, 0.500, 0.000)

Summary:
Raw formation energy: 0.06 eV/atom
Total energy: -19.735 eV/atom
Magnetic moment: 0.232 μB per atom
Density of states at the Fermi level: 4.8 states/eV/f.u.
SG: Pm-3m, No. 221

# CaGaPCl2

CaGaPCl2 at its PBEsol-relaxed geometry (SCAN, Alexandria via LeMat-Bulk).

abc: 5.166 5.166 5.659
angles: 90.00 90.00 90.00
Fractional positions:
Ca (0.000, 0.000, 0.000)
Ga (0.500, 0.500, 0.500)
P (0.000, 0.000, 0.500)
Cl (0.000, 0.500, 0.000)
Cl (0.500, 0.000, 0.000)

Summary:
Raw formation energy: -0.71 eV/atom
Total energy: -11.186 eV/atom
Magnetic moment: 0.400 μB per atom
Density of states at the Fermi level: 1.5 states/eV/f.u.
SG: P4/mmm, No. 123